Below is an optimized crystal structure of MgCrO4, with properties calculated at the GGA+U level.

Properties
**E_tot**: -6.572 eV/atom
**Size of the total moment**: 0.0 μB per formula unit
**Fermi-level density of states**: 0.000 states/eV per cell

```
MgCrO4
1.0
2.7757 -4.2374 0.0000
2.7757 4.2374 0.0000
0.0000 0.0000 6.4800
Mg Cr O
2 2 8
direct
0.0000 0.0000 0.0000 Mg
0.0000 0.0000 0.5000 Mg
0.3569 0.6431 0.7500 Cr
0.6431 0.3569 0.2500 Cr
0.2166 0.2761 0.7500 O
0.2443 0.7557 0.5457 O
0.2443 0.7557 0.9543 O
0.2761 0.2166 0.2500 O
0.7239 0.7834 0.7500 O
0.7557 0.2443 0.0457 O
0.7557 0.2443 0.4543 O
0.7834 0.7239 0.2500 O
```